LiFeIr | GGA-PBE | optimized geometry

```
LiFeIr
1.0
-3.165 2.633 1.146
-0.655 -4.222 -0.075
2.581 -0.550 8.386
Li Ir Fe
2 2 2
Direct
0.333 0.667 0.250 Li
0.667 0.333 0.750 Li
0.000 0.000 0.000 Ir
0.000 0.000 0.500 Ir
0.000 0.000 0.250 Fe
0.000 0.000 0.750 Fe
```

Computed properties:
Symmetry: P6_3/mmc
Size of the total moment: 1.036 μB/atom
Energy of formation from the pure elements: 5.2 eV/f.u.

CeGa4CuPd2 | GGA-PBE | optimized geometry

```
CeGa4CuPd2
1.0
-1.308 0.416 4.083
-1.279 -3.465 2.215
7.306 -2.276 4.845
Ga Ce Cu Pd
4 1 1 2
Direct
0.400 0.400 0.801 Ga
0.870 0.870 0.390 Ga
0.600 0.600 0.199 Ga
0.130 0.130 0.610 Ga
0.000 0.000 0.000 Ce
0.500 0.500 0.500 Cu
0.764 0.764 0.707 Pd
0.236 0.236 0.293 Pd
```

Computed properties:
Symmetry: R-3m
Size of the total moment: 0.082 μB/atom
Energy of formation from the pure elements: -4.0 eV/f.u.

CdSbMo2 | GGA-PBE | optimized geometry

```
CdSbMo2
1.0
-0.210 -4.143 -0.545
3.553 0.110 -2.204
2.196 -0.573 3.513
Mo Sb Cd
2 1 1
Direct
0.000 0.000 0.000 Mo
0.000 0.500 0.500 Mo
0.500 0.500 0.000 Sb
0.500 0.000 0.500 Cd
```

Computed properties:
Energy relative to the elements, uncorrected: 0.636 eV per atom
Symmetry: P4/mmm
Size of the total moment: 0.003 μB/atom